Material: Ce3AsCl3
Method: DFT, PBE
State: optimized geometry

Properties
- E_form (uncorrected) (eV/atom) = -1.704
- magnetization (μB/f.u.) = 3.47
- calculated total energy (eV per formula unit) = -39.918

```
data_Ce3AsCl3
_chemical_formula_sum 'Ce24 As8 Cl24'
_cell_length_a 11.620
_cell_length_b 11.620
_cell_length_c 11.620
_cell_angle_alpha 90.00
_cell_angle_beta 90.00
_cell_angle_gamma 90.00
_space_group_name_H-M_alt 'I 41 3 2'
_space_group_IT_number 214
_space_group_name_Hall 'I 4bd 2c 3'
loop_
_atom_site_label
_atom_site_type_symbol
_atom_site_fract_x
_atom_site_fract_y
_atom_site_fract_z
Ce1 Ce 0.122 0.372 0.125
As1 As 0.125 0.125 0.125
Cl1 Cl 0.122 0.128 0.625
```

---

Material: CeAsCl
Method: DFT, PBE
State: optimized geometry

Properties
- E_form (uncorrected) (eV/atom) = -1.322
- magnetization (μB/f.u.) = 0.00
- calculated total energy (eV per formula unit) = -16.396
- ΔE to the lowest computed polymorph (kJ/mol of atoms) = 9.7

```
data_CeAsCl
_chemical_formula_sum 'Ce4 As4 Cl4'
_cell_length_a 6.808
_cell_length_b 6.808
_cell_length_c 6.808
_cell_angle_alpha 90.00
_cell_angle_beta 90.00
_cell_angle_gamma 90.00
_space_group_name_H-M_alt 'F -4 3 m'
_space_group_IT_number 216
_space_group_name_Hall 'F -4 2 3'
loop_
_atom_site_label
_atom_site_type_symbol
_atom_site_fract_x
_atom_site_fract_y
_atom_site_fract_z
Ce1 Ce 0.000 0.000 0.000
As1 As 0.250 0.250 0.250
Cl1 Cl 0.250 0.250 0.750
```